# 1
# Lu2TlHg

An optimized crystal structure of Lu2TlHg (PBE-GGA, Alexandria via LeMat-Bulk).

The structure in POSCAR format:
```
Lu2TlHg
1.0
3.702 0.000 0.000
0.000 3.702 0.000
0.000 0.000 7.366
Hg Lu Tl
1 2 1
Direct
0.500 0.500 0.000
0.000 0.000 0.760
0.000 0.000 0.240
0.500 0.500 0.500
```

calculated formation energy: -0.3626 eV per atom

***

# 2
# ZnH3F

An optimized crystal structure of ZnH3F (PBE-GGA, Alexandria via LeMat-Bulk).

The structure in POSCAR format:
```
ZnH3F
1.0
2.779 -0.001 -0.004
-0.092 2.856 0.004
-1.254 -1.311 7.404
H F Zn
3 1 1
Direct
0.915 0.456 0.663
0.904 0.972 0.294
0.284 0.354 0.036
0.620 0.616 0.663
0.342 0.911 0.163
```

offset from the most stable computed form: 0.56 eV/f.u.

***

# 3
# TlSbPbO6

An optimized crystal structure of TlSbPbO6 (PBE-GGA, Alexandria via LeMat-Bulk).

The structure in POSCAR format:
```
TlSbPbO6
1.0
-2.551 -3.003 3.894
5.298 1.474 0.667
-2.764 7.970 4.335
Pb O Sb Tl
2 12 2 2
Direct
0.333 0.667 0.250
0.667 0.333 0.750
0.657 0.024 0.368
0.976 0.632 0.368
0.368 0.343 0.368
0.343 0.976 0.632
0.024 0.657 0.868
0.632 0.657 0.632
0.368 0.024 0.132
0.632 0.976 0.868
0.657 0.632 0.132
0.976 0.343 0.132
0.024 0.368 0.632
0.343 0.368 0.868
0.667 0.333 0.250
0.333 0.667 0.750
0.000 0.000 0.500
0.000 0.000 0.000
```

raw formation energy: -0.9753 eV/atom

***

- Number 3 is which compound?
  TlSbPbO6